Lu2TlTc: relaxed, GGA-PBE.

a = 3.469 Å, b = 3.469 Å, c = 7.579 Å
α = 90.00°, β = 90.00°, γ = 90.00°
Element x y z (fractional)
Lu: 0.000 0.000 0.207
Lu: 0.000 0.000 0.793
Tl: 0.500 0.500 0.500
Tc: 0.500 0.500 0.000

Calculated values
Final energy in eV for the cell shown: -22.8
Size of the total moment in Bohr magnetons per cell: 0.000
Symmetry: No. 123